YMnI2O | GGA+U | optimized geometry

CIF file:
```
data_YMnI2O
_chemical_formula_sum 'Y1 Mn1 I2 O1'
_symmetry_space_group_name_H-M 'P 4/m m m'
_symmetry_Int_Tables_number 123
_symmetry_space_group_name_Hall '-P 4 2'
_cell_length_a 5.878
_cell_length_b 5.878
_cell_length_c 3.784
_cell_angle_alpha 90.00
_cell_angle_beta 90.00
_cell_angle_gamma 90.00
loop_
_atom_site_label
_atom_site_type_symbol
_atom_site_fract_x
_atom_site_fract_y
_atom_site_fract_z
Y1 Y 0.000 0.000 0.000
Mn1 Mn 0.500 0.500 0.500
I1 I 0.000 0.500 0.500
O1 O 0.500 0.500 0.000
```

Output
energy relative to the lowest polymorph listed for this composition = 0.299 eV per atom